A plane-wave DFT calculation with SCAN was carried out for a PBEsol-optimized structure of YOsBr.

Lattice parameters (Å, degrees): 4.5026 4.5026 4.5026 60.00 60.00 60.00
With the nearest neighbours (Å) after each atom.
Fractional positions:
Br: 0.5000 0.5000 0.5000  4 Os 2.76
Y: 0.0000 0.0000 0.0000  4 Os 2.76
Os: 0.2500 0.2500 0.2500  4 Br 2.76, 4 Y 2.76

Computed properties:
The calculation puts the theoretical density at 9.237 g/cm3. The volume is 21.52 Å³/atom. The calculation puts the density of states at the Fermi level at 1.84 states/eV/f.u.


A plane-wave DFT calculation with SCAN was carried out for a PBEsol-optimized structure of ScBF2.

Lattice parameters (Å, degrees): 2.8884 2.8884 8.4882 80.20 80.20 60.00
With the nearest neighbours (Å) after each atom.
Fractional positions:
B: 0.0000 0.0000 0.0000  2 F 2.86, 6 B 2.89
F: 0.1146 0.1146 0.6563  3 Sc 2.11
F: 0.8854 0.8854 0.3437  3 Sc 2.11
Sc: 0.5000 0.5000 0.5000  6 F 2.11

Computed properties:
The calculation puts the theoretical density at 2.589 g/cm3. The volume is 15.03 Å³/atom. The calculation puts the density of states at the Fermi level at 1.89 states/eV/f.u.


no.,energy above the lowest structure with this stoichiometry (meV/atom)
1,427.0
2,186.5